1.
{
  "formula": "Hf3TiSe8",
  "functional": "PBE",
  "state": "relaxed",
  "lattice_angstrom": [[7.441, 0.000, 0.000], [-3.721, 5.287, -3.671], [0.000, 0.396, 8.175]],
  "species": ["Se", "Se", "Se", "Se", "Se", "Se", "Se", "Se", "Hf", "Hf", "Hf", "Ti"],
  "frac_coords": [[0.762, 0.525, 0.776], [0.256, 0.511, 0.770], [0.752, 0.989, 0.224], [0.762, 0.011, 0.776], [0.238, 0.989, 0.224], [0.744, 0.489, 0.230], [0.248, 0.011, 0.776], [0.238, 0.475, 0.224], [0.500, 0.500, 0.000], [0.000, 0.500, 0.000], [0.500, 0.000, 0.000], [0.000, 0.000, 0.000]],
  "formation_energy_uncorrected_ev_per_atom": -1.2803
}

2.
{
  "formula": "CdHg",
  "functional": "PBE",
  "state": "relaxed",
  "lattice_angstrom": [[5.853, 0.000, 0.000], [0.000, 5.853, 0.000], [0.000, 0.000, 6.182]],
  "species": ["Hg", "Hg", "Hg", "Hg", "Cd", "Cd", "Cd", "Cd"],
  "frac_coords": [[0.695, 0.305, 0.500], [0.805, 0.805, 0.000], [0.305, 0.695, 0.500], [0.195, 0.195, 0.000], [0.807, 0.807, 0.500], [0.693, 0.307, 0.000], [0.307, 0.693, 0.000], [0.193, 0.193, 0.500]],
  "delta_e_f_mev_per_atom": 41
}

3.
{
  "formula": "LiAgHg",
  "functional": "PBE",
  "state": "relaxed",
  "lattice_angstrom": [[-1.561, 4.275, 0.875], [-2.886, -3.617, 0.249], [0.672, -0.340, 2.859]],
  "species": ["Li", "Ag", "Hg"],
  "frac_coords": [[0.333, 0.667, 0.676], [0.000, 0.000, 0.959], [0.667, 0.333, 0.365]],
  "de_polymorph_ev_per_atom": 0.028,
  "delta_e_f_mev_per_atom": -183
}

4.
{
  "formula": "K2PaFe2N4",
  "functional": "PBE",
  "state": "relaxed",
  "lattice_angstrom": [[-0.300, -0.067, 3.464], [6.684, -0.921, -1.185], [-1.138, 6.555, 0.029]],
  "species": ["K", "K", "N", "N", "N", "N", "Pa", "Fe", "Fe"],
  "frac_coords": [[0.129, 0.258, 0.551], [0.871, 0.742, 0.449], [0.466, 0.931, 0.188], [0.191, 0.381, 0.096], [0.809, 0.619, 0.904], [0.534, 0.069, 0.812], [0.000, 0.000, 0.000], [0.685, 0.369, 0.970], [0.315, 0.631, 0.030]],
  "formation_energy_uncorrected_ev_per_atom": -0.5128
}

5.
{
  "formula": "CePm5In4",
  "functional": "PBE",
  "state": "relaxed",
  "lattice_angstrom": [[-1.830, -2.724, 1.515], [2.636, -2.290, -0.933], [10.236, 3.893, 19.365]],
  "species": ["Pm", "Pm", "Pm", "Pm", "Pm", "Ce", "In", "In", "In", "In"],
  "frac_coords": [[0.500, 0.500, 0.304], [0.500, 0.500, 0.500], [0.500, 0.500, 0.109], [0.500, 0.500, 0.696], [0.500, 0.500, 0.891], [0.000, 0.000, 0.000], [0.000, 0.000, 0.598], [0.000, 0.000, 0.795], [0.000, 0.000, 0.205], [0.000, 0.000, 0.402]],
  "delta_e_f_mev_per_atom": -374
}

6.
{
  "formula": "Pr8Ag2Os",
  "functional": "PBE",
  "state": "relaxed",
  "lattice_angstrom": [[4.851, 0.000, -1.476], [-1.311, 7.587, -4.308], [0.067, -0.047, 8.929]],
  "species": ["Pr", "Pr", "Pr", "Pr", "Pr", "Pr", "Pr", "Pr", "Ag", "Ag", "Os"],
  "frac_coords": [[0.120, 0.120, 0.239], [0.346, 0.113, 0.692], [0.000, 0.666, 0.000], [0.880, 0.880, 0.761], [0.654, 0.421, 0.308], [0.000, 0.334, 0.000], [0.654, 0.887, 0.308], [0.346, 0.579, 0.692], [0.801, 0.301, 0.602], [0.199, 0.699, 0.398], [0.500, 0.000, 0.000]],
  "de_polymorph_ev_per_atom": 0.117,
  "delta_e_f_mev_per_atom": 47
}

7.
{
  "formula": "ReHgSbTe2",
  "functional": "PBE",
  "state": "relaxed",
  "lattice_angstrom": [[5.539, 0.000, 0.000], [0.000, 5.539, 0.000], [0.000, 0.000, 5.577]],
  "species": ["Hg", "Re", "Sb", "Te", "Te"],
  "frac_coords": [[0.000, 0.000, 0.000], [0.500, 0.500, 0.500], [0.000, 0.000, 0.500], [0.000, 0.500, 0.000], [0.500, 0.000, 0.000]],
  "de_polymorph_ev_per_atom": 1.142,
  "formation_energy_uncorrected_ev_per_atom": 1.7625
}

8.
{
  "formula": "PuBeZn2Au4",
  "functional": "PBE",
  "state": "relaxed",
  "lattice_angstrom": [[-2.817, -0.206, 3.473], [-3.483, -2.810, -0.106], [2.601, -6.962, 4.581]],
  "species": ["Zn", "Zn", "Pu", "Be", "Au", "Au", "Au", "Au"],
  "frac_coords": [[0.247, 0.247, 0.258], [0.753, 0.753, 0.742], [0.000, 0.000, 0.000], [0.500, 0.500, 0.500], [0.864, 0.864, 0.409], [0.136, 0.136, 0.591], [0.403, 0.403, 0.791], [0.597, 0.597, 0.209]],
  "delta_e_f_mev_per_atom": -223
}

9.
{
  "formula": "KCa2",
  "functional": "PBE",
  "state": "relaxed",
  "lattice_angstrom": [[2.014, 7.664, 0.043], [-2.014, 7.664, 0.043], [0.000, 2.805, 9.488]],
  "species": ["K", "K", "Ca", "Ca", "Ca", "Ca"],
  "frac_coords": [[0.281, 0.281, 0.945], [0.940, 0.940, 0.609], [0.662, 0.662, 0.655], [0.010, 0.010, 0.014], [0.611, 0.611, 0.282], [0.329, 0.329, 0.327]],
  "delta_e_f_mev_per_atom": 142
}

10.
{
  "formula": "OsSO2",
  "functional": "PBE",
  "state": "relaxed",
  "lattice_angstrom": [[1.683, 0.000, 6.491], [-0.842, 1.458, 6.491], [-0.842, -1.458, 6.491]],
  "species": ["O", "O", "S", "Os"],
  "frac_coords": [[0.103, 0.103, 0.103], [0.897, 0.897, 0.897], [0.000, 0.000, 0.000], [0.500, 0.500, 0.500]],
  "formation_energy_uncorrected_ev_per_atom": 0.0953
}

11.
{
  "formula": "LiCa4Zn",
  "functional": "PBE",
  "state": "relaxed",
  "lattice_angstrom": [[5.322, 0.000, 0.000], [0.000, 5.330, 0.000], [0.006, 0.009, 7.626]],
  "species": ["Ca", "Ca", "Ca", "Ca", "Zn", "Li"],
  "frac_coords": [[0.002, 0.497, 0.734], [0.501, 0.998, 0.734], [0.501, 0.997, 0.262], [0.001, 0.497, 0.262], [0.001, 0.997, 0.498], [0.501, 0.497, 0.998]],
  "de_polymorph_ev_per_atom": 0.161,
  "delta_e_f_mev_per_atom": 91
}

12.
{
  "formula": "TbYIn",
  "functional": "PBE",
  "state": "relaxed",
  "lattice_angstrom": [[-4.424, -1.235, -0.389], [1.008, -2.423, -3.790], [1.485, -6.789, 4.729]],
  "species": ["Tb", "Tb", "In", "In", "Y", "Y"],
  "frac_coords": [[0.750, 0.750, 0.000], [0.250, 0.250, 0.000], [0.750, 0.250, 0.728], [0.250, 0.750, 0.272], [0.750, 0.250, 0.354], [0.250, 0.750, 0.646]],
  "de_polymorph_ev_per_atom": 0.000,
  "delta_e_f_mev_per_atom": -291
}

Electronic total energy (computed, eV/atom): -6.750; -0.567; -1.872; -7.393; -4.438; -4.968; -2.869; -4.437; -1.558; -6.223; -1.775; -4.902